Below is an optimized crystal structure of FeAuN2O, with properties calculated at the PBE with a Hubbard U level.

- DFT total energy: -4.302 eV per atom
- Crystal system: tetragonal

Geometry as CIF:
```
data_FeAuN2O
_cell_length_a 3.9940
_cell_length_b 3.9940
_cell_length_c 4.1575
_cell_angle_alpha 90.00
_cell_angle_beta 90.00
_cell_angle_gamma 90.00
_space_group_name_H-M_alt 'P 4/m m m'
_space_group_IT_number 123
_space_group_name_Hall '-P 4 2'
loop_
_atom_site_label
_atom_site_type_symbol
_atom_site_fract_x
_atom_site_fract_y
_atom_site_fract_z
Fe1 Fe 0.0000 0.0000 0.0000
Au1 Au 0.5000 0.5000 0.5000
N1 N 0.0000 0.5000 0.5000
O1 O 0.5000 0.5000 0.0000
```